# 1
Entry from Alexandria: an optimized crystal structure of LiPtAu2 (PBE). Values from VASP.

Cell and atoms, written as Quantum ESPRESSO input:
```
&SYSTEM
  ibrav = 0, nat = 4, ntyp = 3
/
ATOMIC_SPECIES
Li 6.94 Li.upf
Pt 195.08 Pt.upf
Au 196.97 Au.upf
CELL_PARAMETERS angstrom
4.0636 0.0000 0.0000
0.0000 4.0636 0.0000
0.0000 0.0000 3.8972
ATOMIC_POSITIONS angstrom
Li 0.0000 0.0000 0.0000
Pt 2.0318 2.0318 0.0000
Au 0.0000 2.0318 1.9486
Au 2.0318 0.0000 1.9486
```

Results
- Crystal system: tetragonal
- Energy: -3.98 eV per atom
- Total magnetic moment: 0.000 μB/f.u.
- Symmetry: P4/mmm (123)
- Energy of formation: -0.357 eV/atom



# 2
Entry from Alexandria: an optimized crystal structure of LiPtAu2 (PBE). Values from VASP.

Cell and atoms, written as Quantum ESPRESSO input:
```
&SYSTEM
  ibrav = 0, nat = 4, ntyp = 3
/
ATOMIC_SPECIES
Li 6.94 Li.upf
Pt 195.08 Pt.upf
Au 196.97 Au.upf
CELL_PARAMETERS angstrom
-1.9846 1.9846 4.1274
1.9846 -1.9846 4.1274
1.9846 1.9846 -4.1274
ATOMIC_POSITIONS angstrom
Li 0.0000 0.0000 0.0000
Pt 1.9846 0.0000 2.0637
Au 0.0000 0.0000 4.1274
Au 0.0000 1.9846 2.0637
```

Results
- Crystal system: tetragonal
- Energy: -3.94 eV per atom
- Total magnetic moment: 0.000 μB/f.u.
- Symmetry: I-4m2 (119)
- Energy of formation: -0.310 eV/atom



# 3
Entry from Alexandria: an optimized crystal structure of Li2PtAu2 (PBE). Values from VASP.

Cell and atoms, written as Quantum ESPRESSO input:
```
&SYSTEM
  ibrav = 0, nat = 10, ntyp = 3
/
ATOMIC_SPECIES
Li 6.94 Li.upf
Pt 195.08 Pt.upf
Au 196.97 Au.upf
CELL_PARAMETERS angstrom
4.5025 0.0000 0.0000
-2.2513 3.8993 0.0000
0.0000 0.0000 10.7098
ATOMIC_POSITIONS angstrom
Li 0.0000 2.5995 1.2285
Li 0.0000 2.5995 4.1264
Li 2.2513 1.2998 6.5834
Li 2.2513 1.2998 9.4813
Pt 0.0000 0.0000 2.6775
Pt 0.0000 0.0000 8.0324
Au 0.0000 0.0000 0.0000
Au 0.0000 0.0000 5.3549
Au 0.0000 2.5995 8.0324
Au 2.2513 1.2998 2.6775
```

Results
- Crystal system: hexagonal
- Energy: -3.61 eV per atom
- Total magnetic moment: 0.000 μB/f.u.
- Symmetry: P6_3/mmc (194)
- Energy of formation: -0.329 eV/atom